Record 1
The following is a PBEsol calculation of a relaxed structure of BeCo2Cl, from the Alexandria database.

Cell: 2.713 3.698 4.363 Å, 90.00 90.00 90.00°
Last column: magnetic moment on the atom in μB.
Atoms (fractional coordinates):
Be 0.500 0.500 0.000  -0.04
Co 0.000 0.000 0.000  0.98
Co 0.500 0.000 0.500  0.58
Cl 0.000 0.500 0.500  0.03

Results
Energy above the lowest structure with this stoichiometry ... 278 meV per atom
ΔE_f (raw) ... 2.09 eV per formula unit



Record 2
The following is a PBEsol calculation of a relaxed structure of BeCo2Cl, from the Alexandria database.

Cell: 2.872 2.872 5.619 Å, 90.00 90.00 90.00°
Last column: magnetic moment on the atom in μB.
Atoms (fractional coordinates):
Be 0.000 0.000 0.448  -0.05
Co 0.000 0.000 0.047  1.77
Co 0.500 0.500 0.290  1.27
Cl 0.500 0.500 0.715  0.05

Results
Energy above the lowest structure with this stoichiometry ... 0 meV per atom
ΔE_f (raw) ... 0.98 eV per formula unit



- Which of these has the highest energy above the lowest structure with this stoichiometry?
  number 1



- Which formula does entry 2 have?
  BeCo2Cl



- Among the records above, which one has the lowest ΔE_f (raw)?
  number 2



Repeat the first record exactly.
The following is a PBEsol calculation of a relaxed structure of BeCo2Cl, from the Alexandria database.

Cell: 2.713 3.698 4.363 Å, 90.00 90.00 90.00°
Last column: magnetic moment on the atom in μB.
Atoms (fractional coordinates):
Be 0.500 0.500 0.000  -0.04
Co 0.000 0.000 0.000  0.98
Co 0.500 0.000 0.500  0.58
Cl 0.000 0.500 0.500  0.03

Results
Energy above the lowest structure with this stoichiometry ... 278 meV per atom
ΔE_f (raw) ... 2.09 eV per formula unit